(1)
Sc3InBi | GGA-PBEsol | relaxed

abc: 5.328 5.328 5.328
angles: 90.00 90.00 90.00
Space group Pm-3m (No. 221)
One atom of each set of equivalent atoms:
Sc1 0.000 0.000 0.500 [3 per cell]
In1 0.500 0.500 0.500 [1 per cell]
Bi1 0.000 0.000 0.000 [1 per cell]

Crystal system: cubic
Energy relative to the elements in eV/atom: 0.220

---

(2)
KCuOs | GGA-PBEsol | relaxed

abc: 2.643 2.643 14.913
angles: 90.00 90.00 90.00
Space group I4mm (No. 107)
One atom of each set of equivalent atoms:
K1 0.000 0.000 0.000 [2 per cell]
Cu1 0.000 0.000 0.308 [2 per cell]
Os1 0.000 0.000 0.685 [2 per cell]

Crystal system: tetragonal
Energy relative to the elements in eV/atom: 0.981

---

(3)
BaNiI2O | GGA-PBEsol | relaxed

abc: 5.741 5.741 3.754
angles: 90.00 90.00 90.00
Space group P4/mmm (No. 123)
One atom of each set of equivalent atoms:
Ba1 0.000 0.000 0.000 [1 per cell]
Ni1 0.500 0.500 0.500 [1 per cell]
I1 0.000 0.500 0.500 [2 per cell]
O1 0.500 0.500 0.000 [1 per cell]

Crystal system: tetragonal
Formation energy (no corrections) in eV/atom: -0.899

---

(4)
TlRu2C | GGA-PBEsol | relaxed

abc: 6.043 6.043 6.043
angles: 90.00 90.00 90.00
Space group Fm-3m (No. 225)
One atom of each set of equivalent atoms:
Tl1 0.000 0.000 0.000 [4 per cell]
Ru1 0.250 0.250 0.250 [8 per cell]
C1 0.000 0.000 0.500 [4 per cell]

Crystal system: cubic
Energy relative to the elements in eV/atom: 1.661

---

(5)
BePtCl2 | GGA-PBEsol | relaxed

abc: 6.244 6.244 6.244
angles: 90.00 90.00 90.00
Space group Fm-3m (No. 225)
One atom of each set of equivalent atoms:
Be1 0.000 0.000 0.000 [4 per cell]
Pt1 0.000 0.000 0.500 [4 per cell]
Cl1 0.250 0.250 0.250 [8 per cell]

Crystal system: cubic
Formation energy (no corrections) in eV/atom: 0.565

---

(6)
Zr3InTe | GGA-PBEsol | relaxed

abc: 5.191 5.191 5.191
angles: 90.00 90.00 90.00
Space group Pm-3m (No. 221)
One atom of each set of equivalent atoms:
Zr1 0.000 0.000 0.500 [3 per cell]
In1 0.500 0.500 0.500 [1 per cell]
Te1 0.000 0.000 0.000 [1 per cell]

Crystal system: cubic
Formation energy (no corrections) in eV/atom: 0.479

---

(7)
NdSe3O12 | GGA-PBEsol | relaxed

abc: 9.4464 9.4464 6.2827
angles: 90.00 90.00 120.00
Space group P6_3/m (No. 176)
One atom of each set of equivalent atoms:
Nd1 0.3333 0.6667 0.2500 [2 per cell]
Se1 0.0928 0.3921 0.7500 [6 per cell]
O1 0.0024 0.1901 0.7500 [6 per cell]
O2 0.0383 0.5399 0.2500 [6 per cell]
O3 0.2163 0.4626 0.5385 [12 per cell]

Crystal system: hexagonal
Formation energy (no corrections) in eV/atom: -0.740

---

(8)
Sb2RuCI | GGA-PBEsol | relaxed

abc: 4.949 4.949 5.561
angles: 90.00 90.00 90.00
Space group P4/mmm (No. 123)
One atom of each set of equivalent atoms:
Sb1 0.000 0.500 0.000 [2 per cell]
Ru1 0.000 0.000 0.000 [1 per cell]
C1 0.500 0.500 0.500 [1 per cell]
I1 0.000 0.000 0.500 [1 per cell]

Crystal system: tetragonal
Formation energy (no corrections) in eV/atom: 1.753

---

(9)
TlNi3N | GGA-PBEsol | relaxed

abc: 3.844 3.844 3.844
angles: 90.00 90.00 90.00
Space group Pm-3m (No. 221)
One atom of each set of equivalent atoms:
Tl1 0.000 0.000 0.000 [1 per cell]
Ni1 0.000 0.500 0.500 [3 per cell]
N1 0.500 0.500 0.500 [1 per cell]

Crystal system: cubic
Formation energy (no corrections) in eV/atom: -0.006

---

(10)
AlCuHg2 | GGA-PBEsol | relaxed

abc: 3.1350 3.1350 25.3329
angles: 90.00 90.00 120.00
Space group R-3m (No. 166, hexagonal axes)
One atom of each set of equivalent atoms:
Al1 0.0000 0.0000 0.0000 [3 per cell]
Cu1 0.0000 0.0000 0.5000 [3 per cell]
Hg1 0.0000 0.0000 0.2455 [6 per cell]

Crystal system: trigonal
Energy relative to the elements in eV/atom: 0.139

---

(11)
Ho2S3 | GGA-PBEsol | relaxed

abc: 8.142 8.142 24.394
angles: 90.00 90.00 90.00
Space group I-42d (No. 122)
One atom of each set of equivalent atoms:
Ho1 0.000 0.000 0.166 [8 per cell]
Ho2 0.118 0.750 0.625 [8 per cell]
Ho3 0.136 0.742 0.961 [16 per cell]
S1 0.070 0.677 0.184 [16 per cell]
S2 0.072 0.681 0.855 [16 per cell]
S3 0.079 0.674 0.516 [16 per cell]

Crystal system: tetragonal
Formation energy (no corrections) in eV/atom: -2.124

---

(12)
Sc2PCl | GGA-PBEsol | relaxed

abc: 3.352 3.321 6.762
angles: 90.00 90.13 90.00
Space group P2/m (No. 10)
One atom of each set of equivalent atoms:
Sc1 0.001 0.000 0.209 [2 per cell]
P1 0.500 0.500 0.000 [1 per cell]
Cl1 0.000 0.500 0.500 [1 per cell]

Crystal system: monoclinic
Formation energy (no corrections) in eV/atom: -1.221